# 1
{"formula": "TbPd12Pb3", "functional": "PBE", "state": "relaxed", "cell": [[4.1184, 0.0000, 0.0000], [0.0000, 4.1184, 0.0000], [0.0000, 0.0000, 16.4433]], "species": ["Tb", "Pd", "Pd", "Pd", "Pd", "Pd", "Pd", "Pd", "Pd", "Pd", "Pd", "Pd", "Pd", "Pb", "Pb", "Pb"], "frac_coords": [[0.0000, 0.0000, 0.0000], [0.0000, 0.5000, 0.1262], [0.0000, 0.5000, 0.3752], [0.0000, 0.5000, 0.6248], [0.0000, 0.5000, 0.8738], [0.5000, 0.0000, 0.1262], [0.5000, 0.0000, 0.3752], [0.5000, 0.0000, 0.6248], [0.5000, 0.0000, 0.8738], [0.5000, 0.5000, 0.0000], [0.5000, 0.5000, 0.2515], [0.5000, 0.5000, 0.5000], [0.5000, 0.5000, 0.7485], [0.0000, 0.0000, 0.2505], [0.0000, 0.0000, 0.5000], [0.0000, 0.0000, 0.7495]], "delta_e_f_ev_per_fu": -6.959, "space_group": "No. 123"}

# 2
{"formula": "TbPdPb", "functional": "PBE", "state": "relaxed", "cell": [[4.7553, 0.0000, 0.0000], [0.0000, 4.7378, 0.0000], [-1.9260, 0.0000, 6.3248]], "species": ["Tb", "Tb", "Pd", "Pd", "Pb", "Pb"], "frac_coords": [[0.1116, 0.2500, 0.2268], [0.8884, 0.7500, 0.7732], [0.2951, 0.7500, 0.5047], [0.7049, 0.2500, 0.4953], [0.3683, 0.2500, 0.7939], [0.6317, 0.7500, 0.2061]], "delta_e_f_ev_per_fu": -1.872, "space_group": "No. 11"}

# 3
{"formula": "TbPd4Pb", "functional": "PBE", "state": "relaxed", "cell": [[5.8993, 0.0000, 0.0000], [0.0000, 5.7333, 0.0000], [-2.1213, 0.0000, 6.8382]], "species": ["Tb", "Tb", "Pd", "Pd", "Pd", "Pd", "Pd", "Pd", "Pd", "Pd", "Pb", "Pb"], "frac_coords": [[0.2266, 0.2500, 0.4600], [0.7734, 0.7500, 0.5400], [0.1953, 0.7500, 0.8535], [0.2642, 0.7500, 0.4868], [0.4296, 0.5055, 0.1972], [0.4296, 0.9945, 0.1972], [0.5704, 0.0055, 0.8028], [0.5704, 0.4945, 0.8028], [0.7358, 0.2500, 0.5132], [0.8047, 0.2500, 0.1465], [0.0881, 0.2500, 0.8823], [0.9119, 0.7500, 0.1177]], "delta_e_f_ev_per_fu": -3.235, "e_above_lowest_polymorph_mev_per_atom": 17, "space_group": "No. 11"}

# 4
{"formula": "TbPdPb", "functional": "PBE", "state": "relaxed", "cell": [[4.7640, 0.0000, 0.0000], [-2.3820, 4.1258, 0.0000], [0.0000, 0.0000, 3.6154]], "species": ["Tb", "Pd", "Pb"], "frac_coords": [[0.0000, 0.0000, 0.0000], [0.3333, 0.6667, 0.4990], [0.6667, 0.3333, 0.5005]], "delta_e_f_ev_per_fu": -1.947, "space_group": "No. 156"}

# 5
{"formula": "Tb2Pd5Pb2", "functional": "PBE", "state": "relaxed", "cell": [[-7.1605, 2.7856, 4.6712], [7.1605, -2.7856, 4.6712], [7.1605, 2.7856, -4.6712]], "species": ["Tb", "Tb", "Tb", "Tb", "Pd", "Pd", "Pd", "Pd", "Pd", "Pd", "Pd", "Pd", "Pd", "Pd", "Pb", "Pb", "Pb", "Pb"], "frac_coords": [[0.0209, 0.1253, 0.1463], [0.0209, 0.3747, 0.3956], [0.9791, 0.6253, 0.6044], [0.9791, 0.8747, 0.8537], [0.0386, 0.0292, 0.5094], [0.0429, 0.4154, 0.9291], [0.0429, 0.6138, 0.1274], [0.4863, 0.1138, 0.0709], [0.4863, 0.9154, 0.8726], [0.5103, 0.2748, 0.3342], [0.5103, 0.6761, 0.7355], [0.5198, 0.5292, 0.4906], [0.9406, 0.1761, 0.6658], [0.9406, 0.7748, 0.2645], [0.4552, 0.4552, 0.0000], [0.4552, 0.9552, 0.5000], [0.5112, 0.7875, 0.2237], [0.5637, 0.2875, 0.7763]], "delta_e_f_ev_per_fu": -4.357, "space_group": "No. 46"}

# 6
{"formula": "Tb3Pd5Pb", "functional": "PBE", "state": "relaxed", "cell": [[-4.1089, 4.1089, 5.8604], [4.1089, -4.1089, 5.8604], [4.1089, 4.1089, -5.8604]], "species": ["Tb", "Tb", "Tb", "Tb", "Tb", "Tb", "Pd", "Pd", "Pd", "Pd", "Pd", "Pd", "Pd", "Pd", "Pd", "Pd", "Pb", "Pb"], "frac_coords": [[0.1265, 0.6265, 0.7530], [0.2500, 0.2500, 0.0000], [0.3735, 0.1265, 0.5000], [0.6265, 0.8735, 0.5000], [0.7500, 0.7500, 0.0000], [0.8735, 0.3735, 0.2470], [0.0000, 0.0000, 0.0000], [0.0634, 0.1646, 0.5000], [0.1646, 0.6646, 0.1012], [0.3354, 0.4366, 0.5000], [0.4366, 0.9366, 0.1012], [0.5000, 0.5000, 0.0000], [0.5634, 0.0634, 0.8988], [0.6646, 0.5634, 0.5000], [0.8354, 0.3354, 0.8988], [0.9366, 0.8354, 0.5000], [0.2500, 0.7500, 0.5000], [0.7500, 0.2500, 0.5000]], "delta_e_f_ev_per_fu": -4.500, "space_group": "No. 140"}

# 7
{"formula": "TbPd6Pb", "functional": "PBE", "state": "relaxed", "cell": [[3.7210, 2.1483, 3.4449], [-3.7210, 2.1483, 3.4449], [0.0000, -4.2966, 3.4449]], "species": ["Tb", "Pd", "Pd", "Pd", "Pd", "Pd", "Pd", "Pb"], "frac_coords": [[0.0000, 0.0000, 0.0000], [0.1609, 0.1609, 0.5328], [0.1609, 0.5328, 0.1609], [0.4672, 0.8391, 0.8391], [0.5328, 0.1609, 0.1609], [0.8391, 0.4672, 0.8391], [0.8391, 0.8391, 0.4672], [0.5000, 0.5000, 0.5000]], "delta_e_f_ev_per_fu": -0.961, "e_above_lowest_polymorph_mev_per_atom": 461, "space_group": "No. 166"}

# 8
{"formula": "TbPdPb", "functional": "PBE", "state": "relaxed", "cell": [[13.9747, 0.0000, 0.0000], [0.0000, 3.8459, 0.0000], [0.0000, 0.0000, 7.9215]], "species": ["Tb", "Tb", "Tb", "Tb", "Tb", "Tb", "Pd", "Pd", "Pd", "Pd", "Pd", "Pd", "Pb", "Pb", "Pb", "Pb", "Pb", "Pb"], "frac_coords": [[0.0530, 0.0000, 0.2166], [0.2500, 0.0000, 0.8278], [0.4470, 0.0000, 0.2166], [0.5530, 0.0000, 0.7834], [0.7500, 0.0000, 0.1722], [0.9470, 0.0000, 0.7834], [0.0916, 0.5000, 0.9247], [0.2500, 0.0000, 0.4290], [0.4084, 0.5000, 0.9247], [0.5916, 0.5000, 0.0753], [0.7500, 0.0000, 0.5710], [0.9084, 0.5000, 0.0753], [0.1147, 0.5000, 0.5605], [0.2500, 0.5000, 0.1634], [0.3853, 0.5000, 0.5605], [0.6147, 0.5000, 0.4395], [0.7500, 0.5000, 0.8366], [0.8853, 0.5000, 0.4395]], "delta_e_f_ev_per_fu": -2.081, "space_group": "No. 51"}